1.
DFT (PBE) results for a relaxed structure of CuTeBr.

Cell: 3.9588 6.7604 7.2748 Å, 108.21 90.35 90.04°
Space group P1 (No. 1)
Inequivalent atoms, fractional coordinates:
Cu (0.0000, 0.0000, 0.0000) [1 per cell]
Cu (0.4979, 0.5636, 0.0745) [1 per cell]
Te (0.4981, 0.7639, 0.8202) [1 per cell]
Te (0.5023, 0.9774, 0.2272) [1 per cell]
Br (0.5049, 0.5004, 0.3815) [1 per cell]
Br (0.9978, 0.3267, 0.9075) [1 per cell]

ΔE_f (raw) = -0.18 eV/atom
raw total energy = -18.92 eV/cell
crystal system = triclinic

=====

2.
DFT (PBE) results for a relaxed structure of LiNiI.

Cell: 4.2374 4.2404 8.8200 Å, 102.90 90.37 119.97°
Space group P1 (No. 1)
Inequivalent atoms, fractional coordinates:
Li (0.0000, 0.0000, 0.0000) [1 per cell]
Li (0.2655, 0.5371, 0.7926) [1 per cell]
Ni (0.6190, 0.2415, 0.8542) [1 per cell]
Ni (0.9000, 0.8098, 0.6945) [1 per cell]
I (0.5271, 0.0668, 0.5728) [1 per cell]
I (0.7143, 0.4247, 0.1447) [1 per cell]

ΔE_f (raw) = -0.26 eV/atom
raw total energy = -20.08 eV/cell
crystal system = triclinic
energy above the lowest structure with this stoichiometry = 0 meV/atom

=====

3.
DFT (PBE) results for a relaxed structure of AgGeBi.

Cell: 7.5242 4.3204 10.2513 Å, 90.00 104.21 90.00°
Space group C2/m (No. 12)
Inequivalent atoms, fractional coordinates:
Ag (0.1878, 0.0000, 0.0647) [4 per cell]
Ge (0.0951, 0.0000, 0.7883) [4 per cell]
Bi (0.2133, 0.5000, 0.6408) [4 per cell]

raw total energy = -43.31 eV/cell
crystal system = monoclinic
energy above the lowest structure with this stoichiometry = 0 meV/atom
calculated formation energy = 174 meV/atom

=====

4.
DFT (PBE) results for a relaxed structure of Ca2SbPb.

Cell: 7.8212 7.8212 7.8212 Å, 90.00 90.00 90.00°
Space group Fm-3m (No. 225)
Inequivalent atoms, fractional coordinates:
Ca (0.2500, 0.2500, 0.2500) [8 per cell]
Sb (0.0000, 0.0000, 0.0000) [4 per cell]
Pb (0.0000, 0.0000, 0.5000) [4 per cell]

ΔE_f (raw) = -0.61 eV/atom
raw total energy = -57.16 eV/cell
crystal system = cubic
energy above the lowest structure with this stoichiometry = 73 meV/atom

=====

5.
DFT (PBE) results for a relaxed structure of SrZn2HgPd.

Cell: 4.8862 4.8862 5.2865 Å, 90.00 90.00 90.00°
Space group P4/mmm (No. 123)
Inequivalent atoms, fractional coordinates:
Sr (0.0000, 0.0000, 0.0000) [1 per cell]
Zn (0.0000, 0.5000, 0.5000) [2 per cell]
Hg (0.5000, 0.5000, 0.0000) [1 per cell]
Pd (0.5000, 0.5000, 0.5000) [1 per cell]

raw total energy = -11.08 eV/cell
crystal system = tetragonal
calculated formation energy = -271 meV/atom

=====

6.
DFT (PBE) results for a relaxed structure of Mo2PRu.

Cell: 2.8683 2.8683 24.6440 Å, 90.00 90.00 120.00°
Space group R3m (No. 160, hexagonal axes)
Inequivalent atoms, fractional coordinates:
Mo (0.0000, 0.0000, 0.0000) [3 per cell]
Mo (0.0000, 0.0000, 0.2395) [3 per cell]
P (0.0000, 0.0000, 0.7438) [3 per cell]
Ru (0.0000, 0.0000, 0.4831) [3 per cell]

raw total energy = -108.22 eV/cell
crystal system = trigonal
calculated formation energy = 69 meV/atom

=====

7.
DFT (PBE) results for a relaxed structure of TcSeSN2.

Cell: 3.8080 3.8080 5.2621 Å, 90.00 90.00 90.00°
Space group P4/mmm (No. 123)
Inequivalent atoms, fractional coordinates:
Tc (0.0000, 0.0000, 0.0000) [1 per cell]
Se (0.5000, 0.5000, 0.5000) [1 per cell]
S (0.0000, 0.0000, 0.5000) [1 per cell]
N (0.0000, 0.5000, 0.0000) [2 per cell]

ΔE_f (raw) = 0.76 eV/atom
raw total energy = -30.84 eV/cell
crystal system = tetragonal
energy above the lowest structure with this stoichiometry = 30 meV/atom

=====

8.
DFT (PBE) results for a relaxed structure of BaAsSN2.

Cell: 4.2256 4.2256 4.9254 Å, 90.00 90.00 90.00°
Space group P4/mmm (No. 123)
Inequivalent atoms, fractional coordinates:
Ba (0.0000, 0.0000, 0.0000) [1 per cell]
As (0.5000, 0.5000, 0.5000) [1 per cell]
S (0.5000, 0.5000, 0.0000) [1 per cell]
N (0.0000, 0.5000, 0.5000) [2 per cell]

ΔE_f (raw) = 0.38 eV/atom
raw total energy = -25.44 eV/cell
crystal system = tetragonal
energy above the lowest structure with this stoichiometry = 0 meV/atom

=====

9.
DFT (PBE) results for a relaxed structure of YNbAl2In.

Cell: 5.1167 5.1167 5.2742 Å, 90.00 90.00 90.00°
Space group P4/mmm (No. 123)
Inequivalent atoms, fractional coordinates:
Y (0.0000, 0.0000, 0.0000) [1 per cell]
Nb (0.0000, 0.0000, 0.5000) [1 per cell]
Al (0.0000, 0.5000, 0.5000) [2 per cell]
In (0.5000, 0.5000, 0.0000) [1 per cell]

raw total energy = -24.12 eV/cell
crystal system = tetragonal
calculated formation energy = 527 meV/atom

=====

10.
DFT (PBE) results for a relaxed structure of RbSN2Cl.

Cell: 3.9732 3.9732 7.1583 Å, 90.00 90.00 90.00°
Space group P4/mmm (No. 123)
Inequivalent atoms, fractional coordinates:
Rb (0.0000, 0.0000, 0.0000) [1 per cell]
S (0.5000, 0.5000, 0.5000) [1 per cell]
N (0.0000, 0.5000, 0.5000) [2 per cell]
Cl (0.5000, 0.5000, 0.0000) [1 per cell]

ΔE_f (raw) = 1.05 eV/atom
raw total energy = -18.33 eV/cell
crystal system = tetragonal
energy above the lowest structure with this stoichiometry = 0 meV/atom

=====

11.
DFT (PBE) results for a relaxed structure of KRbPaCl6.

Cell: 7.7939 7.7939 13.3907 Å, 90.00 90.00 120.00°
Space group P-31c (No. 163)
Inequivalent atoms, fractional coordinates:
K (0.3333, 0.6667, 0.2500) [2 per cell]
Rb (0.0000, 0.0000, 0.0000) [2 per cell]
Pa (0.3333, 0.6667, 0.7500) [2 per cell]
Cl (0.0498, 0.3885, 0.6369) [12 per cell]

ΔE_f (raw) = -1.99 eV/atom
raw total energy = -81.10 eV/cell
crystal system = trigonal

=====

12.
DFT (PBE) results for a relaxed structure of TmCd2Pt.

Cell: 4.1213 4.1213 4.9548 Å, 90.00 90.00 90.00°
Space group P4/mmm (No. 123)
Inequivalent atoms, fractional coordinates:
Tm (0.0000, 0.0000, 0.0000) [1 per cell]
Cd (0.0000, 0.5000, 0.5000) [2 per cell]
Pt (0.5000, 0.5000, 0.0000) [1 per cell]

raw total energy = -14.41 eV/cell
crystal system = tetragonal
calculated formation energy = -517 meV/atom

=====

13.
DFT (PBE) results for a relaxed structure of Hf2MnVHg.

Cell: 4.7312 4.7312 5.1540 Å, 90.00 90.00 90.00°
Space group P4/mmm (No. 123)
Inequivalent atoms, fractional coordinates:
Hf (0.0000, 0.5000, 0.0000) [2 per cell]
Mn (0.0000, 0.0000, 0.5000) [1 per cell]
V (0.5000, 0.5000, 0.0000) [1 per cell]
Hg (0.5000, 0.5000, 0.5000) [1 per cell]

raw total energy = -33.88 eV/cell
crystal system = tetragonal
calculated formation energy = 923 meV/atom